Computed, not measured: Nb2ZnIr3 after structural relaxation at the PBE level of DFT.

a = 2.920 Å, b = 2.920 Å, c = 10.914 Å
α = 90.00°, β = 90.00°, γ = 90.00°
Space group P4/mmm (No. 123)
Inequivalent atoms, fractional coordinates:
Nb 0.000 0.000 0.177 [2 per cell]
Zn 0.000 0.000 0.500 [1 per cell]
Ir 0.500 0.500 0.000 [1 per cell]
Ir 0.500 0.500 0.346 [2 per cell]

Properties
ΔE_f: -0.44 eV/atom


Computed, not measured: Sr3Cr2N4 after structural relaxation at the PBE level of DFT.

a = 5.872 Å, b = 9.927 Å, c = 9.629 Å
α = 90.00°, β = 90.00°, γ = 90.00°
Space group Pnna (No. 52)
Inequivalent atoms, fractional coordinates:
Sr 0.118 0.157 0.083 [8 per cell]
Sr 0.250 0.000 0.403 [4 per cell]
Cr 0.155 0.250 0.750 [4 per cell]
Cr 0.250 0.000 0.736 [4 per cell]
N 0.020 0.089 0.833 [8 per cell]
N 0.142 0.646 0.867 [8 per cell]

Properties
uncorrected formation energy: -6.53 eV/f.u.


Computed, not measured: RbU3Se9 after structural relaxation at the PBE level of DFT.

a = 10.2884 Å, b = 10.2884 Å, c = 5.3716 Å
α = 90.00°, β = 90.00°, γ = 120.00°
Space group P6/mmm (No. 191)
Inequivalent atoms, fractional coordinates:
Rb 0.0000 0.0000 0.0000 [1 per cell]
U 0.0000 0.5000 0.5000 [3 per cell]
Se 0.0000 0.5000 0.0000 [3 per cell]
Se 0.2030 0.4059 0.5000 [6 per cell]

Properties
uncorrected formation energy: -11.24 eV/f.u.


Computed, not measured: CsBeAsO4 after structural relaxation at the PBE level of DFT.

a = 9.547 Å, b = 8.979 Å, c = 5.234 Å
α = 90.00°, β = 90.00°, γ = 90.00°
Space group Pna2_1 (No. 33)
Inequivalent atoms, fractional coordinates:
Cs 0.007 0.182 0.000 [4 per cell]
Be 0.169 0.404 0.500 [4 per cell]
As 0.174 0.586 0.001 [4 per cell]
O 0.000 0.372 0.518 [4 per cell]
O 0.221 0.445 0.208 [4 per cell]
O 0.223 0.536 0.697 [4 per cell]
O 0.239 0.244 0.591 [4 per cell]

Properties
uncorrected formation energy: -13.32 eV/f.u.


Computed, not measured: Th4IrRh2S after structural relaxation at the PBE level of DFT.

a = 7.199 Å, b = 4.074 Å, c = 7.238 Å
α = 90.00°, β = 109.16°, γ = 90.00°
Space group P2/m (No. 10)
Inequivalent atoms, fractional coordinates:
Th 0.241 0.000 0.243 [2 per cell]
Th 0.244 0.500 0.753 [2 per cell]
Ir 0.000 0.000 0.500 [1 per cell]
Rh 0.000 0.500 0.000 [1 per cell]
Rh 0.500 0.000 0.000 [1 per cell]
S 0.500 0.500 0.500 [1 per cell]

Properties
uncorrected formation energy: -8.79 eV/f.u.


Computed, not measured: MgSb3H after structural relaxation at the PBE level of DFT.

a = 5.398 Å, b = 5.398 Å, c = 5.398 Å
α = 90.00°, β = 90.00°, γ = 90.00°
Space group Pm-3m (No. 221)
Inequivalent atoms, fractional coordinates:
Mg 0.000 0.000 0.000 [1 per cell]
Sb 0.000 0.000 0.500 [3 per cell]
H 0.500 0.500 0.500 [1 per cell]


Computed, not measured: CaDyIO6 after structural relaxation at the PBE level of DFT.

a = 5.6076 Å, b = 5.6076 Å, c = 9.6053 Å
α = 90.00°, β = 90.00°, γ = 120.00°
Space group P-31c (No. 163)
Inequivalent atoms, fractional coordinates:
Ca 0.0000 0.0000 0.0000 [2 per cell]
Dy 0.3333 0.6667 0.2500 [2 per cell]
I 0.3333 0.6667 0.7500 [2 per cell]
O 0.0494 0.3882 0.6382 [12 per cell]

Properties
uncorrected formation energy: -17.07 eV/f.u.


Computed, not measured: Th2HSe4 after structural relaxation at the PBE level of DFT.

a = 5.902 Å, b = 8.157 Å, c = 7.805 Å
α = 90.00°, β = 109.86°, γ = 90.00°
Space group P2_1/m (No. 11)
Inequivalent atoms, fractional coordinates:
Th 0.135 0.250 0.031 [2 per cell]
Th 0.140 0.250 0.540 [2 per cell]
H 0.427 0.750 0.416 [2 per cell]
Se 0.011 0.001 0.253 [4 per cell]
Se 0.424 0.750 0.615 [2 per cell]
Se 0.455 0.750 0.114 [2 per cell]


Computed, not measured: LiReTcGe after structural relaxation at the PBE level of DFT.

a = 6.052 Å, b = 6.052 Å, c = 6.052 Å
α = 90.00°, β = 90.00°, γ = 90.00°
Space group F-43m (No. 216)
Inequivalent atoms, fractional coordinates:
Li 0.000 0.000 0.000 [4 per cell]
Re 0.000 0.000 0.500 [4 per cell]
Tc 0.250 0.250 0.250 [4 per cell]
Ge 0.250 0.250 0.750 [4 per cell]

Properties
ΔE_f: -0.06 eV/atom


Computed, not measured: Hf11Ti4In9 after structural relaxation at the PBE level of DFT.

a = 14.199 Å, b = 21.338 Å, c = 3.360 Å
α = 90.00°, β = 90.00°, γ = 90.00°
Space group Cmmm (No. 65)
Inequivalent atoms, fractional coordinates:
Hf 0.000 0.000 0.000 [2 per cell]
Hf 0.000 0.156 0.000 [4 per cell]
Hf 0.000 0.365 0.000 [4 per cell]
Hf 0.205 0.500 0.000 [4 per cell]
Hf 0.237 0.175 0.000 [8 per cell]
Ti 0.147 0.403 0.500 [8 per cell]
In 0.000 0.500 0.500 [2 per cell]
In 0.107 0.262 0.500 [8 per cell]
In 0.143 0.075 0.500 [8 per cell]

Properties
ΔE_f: -0.05 eV/atom


Computed, not measured: InGeIrRu after structural relaxation at the PBE level of DFT.

a = 6.319 Å, b = 6.319 Å, c = 6.319 Å
α = 90.00°, β = 90.00°, γ = 90.00°
Space group F-43m (No. 216)
Inequivalent atoms, fractional coordinates:
In 0.000 0.000 0.000 [4 per cell]
Ge 0.000 0.000 0.500 [4 per cell]
Ir 0.250 0.250 0.250 [4 per cell]
Ru 0.250 0.250 0.750 [4 per cell]

Properties
ΔE_f: -0.02 eV/atom


Computed, not measured: CaNbWI2 after structural relaxation at the PBE level of DFT.

a = 5.655 Å, b = 5.655 Å, c = 4.829 Å
α = 90.00°, β = 90.00°, γ = 90.00°
Space group P4/mmm (No. 123)
Inequivalent atoms, fractional coordinates:
Ca 0.000 0.000 0.000 [1 per cell]
Nb 0.500 0.500 0.000 [1 per cell]
W 0.500 0.500 0.500 [1 per cell]
I 0.000 0.500 0.500 [2 per cell]

Properties
uncorrected formation energy: 4.65 eV/f.u.


Listing E_tot for the structures above in their given order: -8.44 -7.13 -5.96 -6.05 -8.27 -2.49 -6.11 -5.81 -7.40 -6.96 -6.39 -4.69 eV per atom.